[1]
Sr2CdP after structural relaxation, computed with PBE.

```
Sr2CdP
1.0
-2.038 2.499 7.865
-8.182 -1.669 -1.590
-4.605 -3.313 4.453
P Sr Cd
2 4 2
direct
0.500 0.500 0.000 P
0.250 0.750 0.500 P
0.375 0.426 0.750 Sr
0.176 0.625 0.250 Sr
0.875 0.824 0.750 Sr
0.574 0.125 0.250 Sr
0.000 0.000 0.000 Cd
0.750 0.250 0.500 Cd
```

Calculated values
* DFT total energy: -22.7 eV per cell
* E_form: -0.42 eV/atom
* total magnetic moment: 0.51 μB/f.u.
* crystal system: tetragonal
* symmetry: I-42d, No. 122
* energy above the lowest structure with this stoichiometry: 23.1 kJ per mole of atoms

=====

[2]
CaSi2Os after structural relaxation, computed with PBE.

```
CaSi2Os
1.0
-3.742 -0.471 -1.292
0.190 -3.931 0.882
-1.378 0.766 3.712
Si Ca Os
2 1 1
direct
0.000 0.000 0.000 Si
0.000 0.500 0.500 Si
0.500 0.500 0.000 Ca
0.500 0.000 0.500 Os
```

Calculated values
* formation energy (no corrections): 0.26 eV/atom
* DFT total energy: -23.0 eV per cell
* total magnetic moment: 0.00 μB/f.u.
* crystal system: tetragonal
* symmetry: P4/mmm, No. 123

=====

[3]
La2Au after structural relaxation, computed with PBE.

```
La2Au
1.0
6.254 0.036 0.000
-2.449 5.755 0.000
-1.903 -2.895 5.207
La Au
4 2
direct
0.675 0.175 0.850 La
0.175 0.325 0.500 La
0.325 0.825 0.150 La
0.825 0.675 0.500 La
0.250 0.250 0.000 Au
0.750 0.750 0.000 Au
```

Calculated values
* DFT total energy: -29.4 eV per cell
* E_form: -0.52 eV/atom
* total magnetic moment: 0.00 μB/f.u.
* crystal system: tetragonal
* symmetry: I4/mcm, No. 140

=====

[4]
KLaHgBi after structural relaxation, computed with PBE.

```
KLaHgBi
1.0
5.710 0.000 0.000
2.855 4.945 0.000
2.855 1.648 4.662
La Hg Bi K
1 1 1 1
direct
0.750 0.750 0.750 La
0.000 0.000 0.000 Hg
0.500 0.500 0.500 Bi
0.250 0.250 0.250 K
```

Calculated values
* DFT total energy: -12.0 eV per cell
* E_form: -0.45 eV/atom
* total magnetic moment: 0.00 μB/f.u.
* crystal system: cubic
* symmetry: F-43m, No. 216

=====

[5]
VInCl3 after structural relaxation, computed with PBE.

```
VInCl3
1.0
-0.451 0.693 4.927
-7.810 0.698 -0.813
5.737 -8.161 -0.859
Cl In V
6 2 2
direct
0.091 0.966 0.181 Cl
0.341 0.194 0.681 Cl
0.796 0.402 0.592 Cl
0.909 0.034 0.819 Cl
0.659 0.806 0.319 Cl
0.204 0.598 0.408 Cl
0.388 0.747 0.776 In
0.612 0.253 0.224 In
0.182 0.867 0.364 V
0.818 0.133 0.636 V
```

Calculated values
* formation energy (no corrections): -0.86 eV/atom
* DFT total energy: -43.4 eV per cell
* total magnetic moment: 3.00 μB/f.u.
* crystal system: monoclinic
* symmetry: C2/m, No. 12
* energy above the lowest structure with this stoichiometry: 12.4 kJ per mole of atoms

=====

[6]
Ho5Te5Pb after structural relaxation, computed with PBE.

```
Ho5Te5Pb
1.0
-5.759 -0.449 2.150
0.838 -2.399 -7.092
2.432 -6.549 5.149
Te Pb Ho
5 1 5
direct
0.334 0.669 0.663 Te
0.000 0.000 0.500 Te
0.334 0.668 0.170 Te
0.666 0.331 0.337 Te
0.666 0.332 0.830 Te
0.000 0.000 0.000 Pb
0.500 0.000 0.000 Ho
0.164 0.327 0.830 Ho
0.837 0.673 0.668 Ho
0.836 0.673 0.170 Ho
0.163 0.327 0.332 Ho
```

Calculated values
* formation energy (no corrections): -1.23 eV/atom
* DFT total energy: -55.8 eV per cell
* total magnetic moment: 0.00 μB/f.u.
* crystal system: monoclinic
* symmetry: C2/m, No. 12

=====

[7]
Al2MoCl after structural relaxation, computed with PBE.

```
Al2MoCl
1.0
5.856 0.033 -0.005
3.139 4.944 0.005
-3.826 -3.703 2.439
Mo Cl Al
1 1 2
direct
0.258 0.758 0.500 Mo
0.455 0.455 0.000 Cl
0.035 0.035 0.000 Al
0.752 0.252 0.500 Al
```

Calculated values
* formation energy (no corrections): 0.08 eV/atom
* DFT total energy: -19.9 eV per cell
* total magnetic moment: 0.00 μB/f.u.
* crystal system: orthorhombic
* symmetry: Imm2, No. 44
* energy above the lowest structure with this stoichiometry: 42.3 kJ per mole of atoms

=====

[8]
LiHBrCl after structural relaxation, computed with PBE.

```
LiHBrCl
1.0
-2.981 2.156 -2.046
-2.658 -2.022 -2.550
-5.092 -2.120 3.562
Li Cl Br H
1 1 1 1
direct
0.366 0.990 0.102 Li
0.557 0.077 0.723 Cl
0.049 0.586 0.225 Br
0.309 0.286 0.560 H
```

Calculated values
* DFT total energy: -12.9 eV per cell
* total magnetic moment: 0.00 μB/f.u.
* crystal system: triclinic
* symmetry: P1, No. 1
* energy above the lowest structure with this stoichiometry: 0.0 kJ per mole of atoms

=====

[9]
VCdH after structural relaxation, computed with PBE.

```
VCdH
1.0
6.583 0.000 -0.027
0.000 3.378 0.000
0.074 0.000 3.368
H Cd V
2 2 2
direct
0.498 0.250 0.276 H
0.502 0.750 0.724 H
0.864 0.750 0.255 Cd
0.136 0.250 0.745 Cd
0.590 0.250 0.777 V
0.410 0.750 0.223 V
```

Calculated values
* DFT total energy: -26.8 eV per cell
* total magnetic moment: 0.00 μB/f.u.
* crystal system: monoclinic
* symmetry: P2_1/m, No. 11
* energy above the lowest structure with this stoichiometry: 2.6 kJ per mole of atoms

=====

[10]
LiTlTc2 after structural relaxation, computed with PBE.

```
LiTlTc2
1.0
-2.571 -9.200 -1.076
-2.583 -9.084 1.796
-4.905 -8.261 0.315
Tc Tl Li
2 1 1
direct
0.002 0.002 0.002 Tc
0.498 0.498 0.498 Tc
0.250 0.250 0.250 Tl
0.750 0.750 0.750 Li
```

Calculated values
* DFT total energy: -21.8 eV per cell
* E_form: 0.79 eV/atom
* total magnetic moment: 0.00 μB/f.u.
* crystal system: trigonal
* symmetry: R-3m, No. 166
* energy above the lowest structure with this stoichiometry: 61.3 kJ per mole of atoms

=====

[11]
Th2GaPt after structural relaxation, computed with PBE.

```
Th2GaPt
1.0
3.600 0.000 0.000
0.000 3.600 0.000
0.000 0.000 7.576
Th Pt Ga
2 1 1
direct
0.000 0.000 0.238 Th
0.000 0.000 0.762 Th
0.500 0.500 0.000 Pt
0.500 0.500 0.500 Ga
```

Calculated values
* DFT total energy: -26.7 eV per cell
* E_form: -0.70 eV/atom
* total magnetic moment: 0.00 μB/f.u.
* crystal system: tetragonal
* symmetry: P4/mmm, No. 123

=====

[12]
Nd4Sm5Ho4 after structural relaxation, computed with PBE.

```
Nd4Sm5Ho4
1.0
-2.284 -3.271 3.165
6.413 -1.786 6.878
-4.450 5.434 6.503
Ho Sm Nd
4 5 4
direct
0.154 0.077 0.615 Ho
0.231 0.615 0.923 Ho
0.846 0.923 0.385 Ho
0.769 0.385 0.077 Ho
0.309 0.151 0.231 Sm
0.460 0.231 0.849 Sm
0.000 0.000 0.000 Sm
0.691 0.849 0.769 Sm
0.540 0.769 0.151 Sm
0.922 0.460 0.695 Nd
0.078 0.540 0.305 Nd
0.617 0.305 0.460 Nd
0.383 0.695 0.540 Nd
```

Calculated values
* DFT total energy: -60.8 eV per cell
* E_form: 0.02 eV/atom
* total magnetic moment: 0.00 μB/f.u.
* crystal system: tetragonal
* symmetry: I4/m, No. 87